# Cs2MnH12Se2O14

An optimized crystal structure of Cs2MnH12Se2O14 (GGA+U, the Alexandria database).

Computed properties:
* SG: P2_1/c, No. 14
* E_tot: -5.216 eV per atom

Cell lengths 6.631, 9.653, 13.292 Å; angles 90.00, 90.00, 105.27 degrees
Each line ends with the local moment (μB).
Atoms (fractional coordinates):
O 0.670 0.165 0.889  0.01
O 0.458 0.861 0.685  0.00
O 0.505 0.824 0.888  0.01
O 0.505 0.324 0.612  0.01
O 0.789 0.486 0.431  0.01
O 0.542 0.639 0.185  0.00
O 0.906 0.737 0.075  0.00
O 0.909 0.583 0.245  0.00
O 0.709 0.953 0.425  0.00
O 0.211 0.514 0.569  0.01
O 0.091 0.417 0.755  0.00
O 0.094 0.263 0.925  0.00
O 0.330 0.835 0.111  0.01
O 0.670 0.665 0.611  0.01
O 0.291 0.547 0.925  0.00
O 0.906 0.237 0.425  0.00
O 0.291 0.047 0.575  0.00
O 0.094 0.763 0.575  0.00
O 0.458 0.361 0.815  0.00
O 0.909 0.083 0.255  0.00
O 0.495 0.176 0.112  0.01
O 0.091 0.917 0.745  0.00
O 0.495 0.676 0.388  0.01
O 0.709 0.453 0.075  0.00
O 0.330 0.335 0.389  0.01
O 0.211 0.014 0.931  0.01
O 0.542 0.139 0.315  0.00
O 0.789 0.986 0.069  0.01
H 0.420 0.224 0.599  0.00
H 0.483 0.843 0.816  0.00
H 0.517 0.657 0.316  0.00
H 0.818 0.521 0.360  0.00
H 0.598 0.239 0.871  0.00
H 0.833 0.895 0.066  0.00
H 0.580 0.776 0.401  0.00
H 0.402 0.261 0.371  0.00
H 0.180 0.788 0.097  0.00
H 0.420 0.724 0.901  0.00
H 0.818 0.021 0.140  0.00
H 0.580 0.276 0.099  0.00
H 0.483 0.343 0.684  0.00
H 0.402 0.761 0.129  0.00
H 0.820 0.212 0.903  0.00
H 0.820 0.712 0.597  0.00
H 0.180 0.288 0.403  0.00
H 0.182 0.479 0.640  0.00
H 0.517 0.157 0.184  0.00
H 0.598 0.739 0.629  0.00
H 0.182 0.979 0.860  0.00
H 0.167 0.105 0.934  0.00
H 0.167 0.605 0.566  0.00
H 0.833 0.395 0.434  0.00
Mn 0.500 0.500 0.500  4.68
Mn 0.500 0.000 0.000  4.68
Se 0.237 0.398 0.854  0.00
Se 0.763 0.602 0.146  0.00
Se 0.237 0.898 0.646  0.00
Se 0.763 0.102 0.354  0.00
Cs 0.155 0.868 0.353  0.00
Cs 0.845 0.632 0.853  0.00
Cs 0.155 0.368 0.147  0.00
Cs 0.845 0.132 0.647  0.00